Tl2AgHg6 | PBE-GGA | relaxed

Computed properties:
**Space-group type**: C2/m
**Total magnetization**: 0.00 μB per formula unit
**ΔH_f (0 K)**: 0.062 eV per atom
**Polymorph energy (0 for the lowest one)**: 36 meV/atom
**E_tot**: -8.84 eV for the cell shown

Lattice parameters (Å, degrees): 3.203 9.230 9.230 60.10 89.30 89.30
Fractional positions:
Tl (0.000, 0.333, 0.333)
Tl (0.000, 0.667, 0.667)
Ag (0.000, 0.000, 0.000)
Hg (0.497, 0.676, 0.000)
Hg (0.503, 0.000, 0.324)
Hg (0.503, 0.324, 0.000)
Hg (0.500, 0.676, 0.324)
Hg (0.497, 0.000, 0.676)
Hg (0.500, 0.324, 0.676)